(1)
First-principles (GGA-PBEsol) data for TlTeOs after structural relaxation, as listed in the Alexandria database.

Computed properties:
D(E_F), states/eV/f.u.: 2.844
Total DFT energy (no corrections), eV per atom: -5.28
Uncorrected formation energy, eV/atom: 0.8415
Relative energy among the computed polymorphs, meV per atom: 202
Total magnetization, μB per formula unit: 0.00

Cell: 3.301 4.662 4.662 Å, 120.00 90.00 90.00°
Atoms (fractional coordinates):
Os 0.000 0.000 0.000
Te 0.000 0.667 0.333
Tl 0.500 0.333 0.667

---

(2)
First-principles (GGA-PBEsol) data for Tl2TeOs after structural relaxation, as listed in the Alexandria database.

Computed properties:
D(E_F), states/eV/f.u.: 3.327
Total DFT energy (no corrections), eV per atom: -4.16
Uncorrected formation energy, eV/atom: 1.0860
Relative energy among the computed polymorphs, meV per atom: 676
Total magnetization, μB per formula unit: 0.00

Cell: 4.988 4.988 4.988 Å, 60.00 60.00 60.00°
Atoms (fractional coordinates):
Os 0.000 0.000 0.000
Te 0.500 0.500 0.500
Tl 0.750 0.750 0.750
Tl 0.250 0.250 0.250